[1]
First-principles (PBE) data for crystalline Dy4H2Se5 at its relaxed geometry, as listed in Alexandria via LeMat-Bulk.

As for the total energy: -116.27 eV per cell.

The structure belongs to space group C2/m (No. 12); the cell edges are 16.7224, 4.0965 and 7.6582 Å and the angles 90.00°, 98.65° and 90.00°. The inequivalent atoms are Dy at (0.0244, 0.0000, 0.2567), Dy at (0.2094, 0.5000, 0.2199), H at (0.0724, 0.5000, 0.1880), Se at (0.0000, 0.5000, 0.5000), Se at (0.1402, 0.0000, 0.9598) and Se at (0.1740, 0.0000, 0.4481).

[2]
First-principles (PBE) data for crystalline LaTiPb3 at its relaxed geometry, as listed in Alexandria via LeMat-Bulk.

As for the density of states at the Fermi level: 0.743 states/eV/atom. The distance to the lowest polymorph of the same formula is 0.000 eV per atom.

The structure belongs to space group Pm-3m (No. 221); the cell edges are 5.3841, 5.3841 and 5.3841 Å and the angles 90.00°, 90.00° and 90.00°. The inequivalent atoms are La at (0.0000, 0.0000, 0.0000), Ti at (0.5000, 0.5000, 0.5000) and Pb at (0.0000, 0.5000, 0.5000).

[3]
First-principles (PBE) data for crystalline HgSeBr at its relaxed geometry, as listed in Alexandria via LeMat-Bulk.

The distance to the lowest polymorph of the same formula is 0.023 eV per atom. The value obtained for the raw formation energy is -0.8 eV per formula unit.

The structure belongs to space group C2 (No. 5); the cell edges are 9.2350, 7.3491 and 6.0372 Å and the angles 90.00°, 114.16° and 90.00°. The inequivalent atoms are Hg at (0.1591, 0.0000, 0.3571), Se at (0.0678, 0.6479, 0.3673) and Br at (0.1498, 0.1208, 0.8678).

[4]
First-principles (PBE) data for crystalline Tl2ZnSi at its relaxed geometry, as listed in Alexandria via LeMat-Bulk.

As for the density of states at the Fermi level: 0.380 states/eV/atom. The distance to the lowest polymorph of the same formula is 0.268 eV per atom. The value obtained for the raw formation energy is 1.7 eV per formula unit.

The structure belongs to space group Pmmm (No. 47); the cell edges are 4.1494, 4.1677 and 5.4561 Å and the angles 90.00°, 90.00° and 90.00°. The inequivalent atoms are Tl at (0.0000, 0.0000, 0.0000), Tl at (0.5000, 0.0000, 0.5000), Zn at (0.0000, 0.5000, 0.5000) and Si at (0.5000, 0.5000, 0.0000).